# NaW3O

A relaxed NaW3O crystal (PBE+U, Alexandria).

Lattice parameters (Å, degrees): 4.5693 4.5693 4.5693 90.00 90.00 90.00
Closest atoms and distances in Å follow each position.
Space group Pm-3m (No. 221)
Asymmetric unit:
Na: 0.0000 0.0000 0.0000  6 W 2.28
W: 0.0000 0.0000 0.5000  2 Na 2.28
O: 0.5000 0.5000 0.5000  12 W 3.23

DOS(E_F) ... 2.8 states/eV/f.u.
Energy relative to the lowest polymorph listed for this composition ... 62.28 kcal/mol of atoms
Spin magnetization ... 0.0 μB per cell